# BiRhS3 PBE optimized geometry
# DOS at the Fermi energy   6.194 states/eV/cell
# SG   Pm-3m
# E above lowest polymorph   0.000 eV per atom
# Uncorrected formation energy   0.148 eV per atom
# Electronic total energy   -4.57 eV per atom
data_BiRhS3
_chemical_formula_sum 'Bi1 Rh1 S3'
_cell_length_a 4.671
_cell_length_b 4.671
_cell_length_c 4.671
_cell_angle_alpha 90.00
_cell_angle_beta 90.00
_cell_angle_gamma 90.00
_symmetry_space_group_name_H-M 'P 1'
_symmetry_Int_Tables_number 1
loop_
_symmetry_equiv_pos_as_xyz
'x,y,z'
loop_
_atom_site_label
_atom_site_type_symbol
_atom_site_fract_x
_atom_site_fract_y
_atom_site_fract_z
Bi1 Bi 0.500 0.500 0.500
S1 S 0.000 0.500 0.000
S2 S 0.500 0.000 0.000
S3 S 0.000 0.000 0.500
Rh1 Rh 0.000 0.000 0.000

# BaCdAsBr2 PBE optimized geometry
# DOS at the Fermi energy   3.176 states/eV/cell
# SG   P4/mmm
# E above lowest polymorph   0.000 eV per atom
# Uncorrected formation energy   -0.784 eV per atom
# Electronic total energy   -2.95 eV per atom
data_BaCdAsBr2
_chemical_formula_sum 'Ba1 Cd1 As1 Br2'
_cell_length_a 5.620
_cell_length_b 5.620
_cell_length_c 5.300
_cell_angle_alpha 90.00
_cell_angle_beta 90.00
_cell_angle_gamma 90.00
_symmetry_space_group_name_H-M 'P 1'
_symmetry_Int_Tables_number 1
loop_
_symmetry_equiv_pos_as_xyz
'x,y,z'
loop_
_atom_site_label
_atom_site_type_symbol
_atom_site_fract_x
_atom_site_fract_y
_atom_site_fract_z
Ba1 Ba 0.500 0.500 0.500
Cd1 Cd 0.000 0.000 0.000
Br1 Br 0.000 0.500 0.000
Br2 Br 0.500 0.000 0.000
As1 As 0.000 0.000 0.500

# Zr2MoPb2 PBE optimized geometry
# DOS at the Fermi energy   1.011 states/eV/cell
# SG   P4/mbm
# Electronic total energy   -6.90 eV per atom
# Calculated formation energy   165 meV per atom
data_Zr2MoPb2
_chemical_formula_sum 'Zr4 Mo2 Pb4'
_cell_length_a 7.403
_cell_length_b 7.403
_cell_length_c 4.100
_cell_angle_alpha 90.00
_cell_angle_beta 90.00
_cell_angle_gamma 90.00
_symmetry_space_group_name_H-M 'P 1'
_symmetry_Int_Tables_number 1
loop_
_symmetry_equiv_pos_as_xyz
'x,y,z'
loop_
_atom_site_label
_atom_site_type_symbol
_atom_site_fract_x
_atom_site_fract_y
_atom_site_fract_z
Mo1 Mo 0.500 0.500 0.000
Mo2 Mo 0.000 0.000 0.000
Pb1 Pb 0.857 0.643 0.000
Pb2 Pb 0.143 0.357 0.000
Pb3 Pb 0.357 0.857 0.000
Pb4 Pb 0.643 0.143 0.000
Zr1 Zr 0.665 0.835 0.500
Zr2 Zr 0.165 0.665 0.500
Zr3 Zr 0.335 0.165 0.500
Zr4 Zr 0.835 0.335 0.500

# CoBPd3 PBE optimized geometry
# DOS at the Fermi energy   6.242 states/eV/cell
# SG   Pm-3m
# Electronic total energy   -4.26 eV per atom
# Calculated formation energy   1612 meV per atom
data_CoBPd3
_chemical_formula_sum 'Co1 B1 Pd3'
_cell_length_a 4.545
_cell_length_b 4.545
_cell_length_c 4.545
_cell_angle_alpha 90.00
_cell_angle_beta 90.00
_cell_angle_gamma 90.00
_symmetry_space_group_name_H-M 'P 1'
_symmetry_Int_Tables_number 1
loop_
_symmetry_equiv_pos_as_xyz
'x,y,z'
loop_
_atom_site_label
_atom_site_type_symbol
_atom_site_fract_x
_atom_site_fract_y
_atom_site_fract_z
Pd1 Pd 0.500 0.000 0.000
Pd2 Pd 0.000 0.000 0.500
Pd3 Pd 0.000 0.500 0.000
B1 B 0.500 0.500 0.500
Co1 Co 0.000 0.000 0.000

# AgHRhF6 PBE optimized geometry
# DOS at the Fermi energy   12.502 states/eV/cell
# SG   P-31c
# Electronic total energy   -3.92 eV per atom
data_AgHRhF6
_chemical_formula_sum 'Ag2 H2 Rh2 F12'
_cell_length_a 4.969
_cell_length_b 4.969
_cell_length_c 10.361
_cell_angle_alpha 90.00
_cell_angle_beta 90.00
_cell_angle_gamma 120.00
_symmetry_space_group_name_H-M 'P 1'
_symmetry_Int_Tables_number 1
loop_
_symmetry_equiv_pos_as_xyz
'x,y,z'
loop_
_atom_site_label
_atom_site_type_symbol
_atom_site_fract_x
_atom_site_fract_y
_atom_site_fract_z
Rh1 Rh 0.667 0.333 0.250
Rh2 Rh 0.333 0.667 0.750
F1 F 0.646 0.632 0.648
F2 F 0.985 0.354 0.648
F3 F 0.015 0.646 0.352
F4 F 0.632 0.646 0.148
F5 F 0.368 0.354 0.852
F6 F 0.015 0.368 0.148
F7 F 0.646 0.015 0.852
F8 F 0.368 0.015 0.648
F9 F 0.354 0.368 0.352
F10 F 0.632 0.985 0.352
F11 F 0.985 0.632 0.852
F12 F 0.354 0.985 0.148
H1 H 0.333 0.667 0.250
H2 H 0.667 0.333 0.750
Ag1 Ag 0.000 0.000 0.000
Ag2 Ag 0.000 0.000 0.500

# Tl3CrSn2Te6 PBE optimized geometry
# DOS at the Fermi energy   4.972 states/eV/cell
# SG   C2/m
# Uncorrected formation energy   -0.261 eV per atom
# Electronic total energy   -3.89 eV per atom
data_Tl3CrSn2Te6
_chemical_formula_sum 'Tl3 Cr1 Sn2 Te6'
_cell_length_a 7.513
_cell_length_b 7.513
_cell_length_c 8.251
_cell_angle_alpha 98.77
_cell_angle_beta 98.77
_cell_angle_gamma 119.75
_symmetry_space_group_name_H-M 'P 1'
_symmetry_Int_Tables_number 1
loop_
_symmetry_equiv_pos_as_xyz
'x,y,z'
loop_
_atom_site_label
_atom_site_type_symbol
_atom_site_fract_x
_atom_site_fract_y
_atom_site_fract_z
Tl1 Tl 0.178 0.822 0.500
Tl2 Tl 0.822 0.178 0.500
Tl3 Tl 0.500 0.500 0.500
Te1 Te 0.229 0.229 0.792
Te2 Te 0.934 0.633 0.800
Te3 Te 0.633 0.934 0.800
Te4 Te 0.367 0.066 0.200
Te5 Te 0.771 0.771 0.208
Te6 Te 0.066 0.367 0.200
Sn1 Sn 0.665 0.335 0.000
Sn2 Sn 0.335 0.665 0.000
Cr1 Cr 0.000 0.000 0.000

# VCuHRh2 PBE optimized geometry
# DOS at the Fermi energy   3.185 states/eV/cell
# SG   P4/mmm
# E above lowest polymorph   0.000 eV per atom
# Electronic total energy   -6.37 eV per atom
data_VCuHRh2
_chemical_formula_sum 'V1 Cu1 H1 Rh2'
_cell_length_a 3.955
_cell_length_b 3.955
_cell_length_c 3.618
_cell_angle_alpha 90.00
_cell_angle_beta 90.00
_cell_angle_gamma 90.00
_symmetry_space_group_name_H-M 'P 1'
_symmetry_Int_Tables_number 1
loop_
_symmetry_equiv_pos_as_xyz
'x,y,z'
loop_
_atom_site_label
_atom_site_type_symbol
_atom_site_fract_x
_atom_site_fract_y
_atom_site_fract_z
H1 H 0.000 0.000 0.000
Cu1 Cu 0.000 0.000 0.500
Rh1 Rh 0.500 0.000 0.000
Rh2 Rh 0.000 0.500 0.000
V1 V 0.500 0.500 0.500

# LiGdMgAu PBE optimized geometry
# DOS at the Fermi energy   3.431 states/eV/cell
# SG   F-43m
# Electronic total energy   -5.54 eV per atom
# Calculated formation energy   -328 meV per atom
data_LiGdMgAu
_chemical_formula_sum 'Li1 Gd1 Mg1 Au1'
_cell_length_a 4.976
_cell_length_b 4.976
_cell_length_c 4.976
_cell_angle_alpha 60.00
_cell_angle_beta 60.00
_cell_angle_gamma 60.00
_symmetry_space_group_name_H-M 'P 1'
_symmetry_Int_Tables_number 1
loop_
_symmetry_equiv_pos_as_xyz
'x,y,z'
loop_
_atom_site_label
_atom_site_type_symbol
_atom_site_fract_x
_atom_site_fract_y
_atom_site_fract_z
Li1 Li 0.250 0.250 0.250
Au1 Au 0.000 0.000 0.000
Gd1 Gd 0.750 0.750 0.750
Mg1 Mg 0.500 0.500 0.500

# FeMoS PBE optimized geometry
# DOS at the Fermi energy   3.380 states/eV/cell
# SG   Cmcm
# Uncorrected formation energy   -0.056 eV per atom
# Electronic total energy   -7.86 eV per atom
data_FeMoS
_chemical_formula_sum 'Fe2 Mo2 S2'
_cell_length_a 3.941
_cell_length_b 2.748
_cell_length_c 8.906
_cell_angle_alpha 81.13
_cell_angle_beta 90.00
_cell_angle_gamma 90.00
_symmetry_space_group_name_H-M 'P 1'
_symmetry_Int_Tables_number 1
loop_
_symmetry_equiv_pos_as_xyz
'x,y,z'
loop_
_atom_site_label
_atom_site_type_symbol
_atom_site_fract_x
_atom_site_fract_y
_atom_site_fract_z
Mo1 Mo 0.250 0.908 0.184
Mo2 Mo 0.750 0.092 0.816
Fe1 Fe 0.750 0.465 0.070
Fe2 Fe 0.250 0.535 0.930
S1 S 0.250 0.658 0.685
S2 S 0.750 0.342 0.315

# Tb4Sn2Bi PBE optimized geometry
# DOS at the Fermi energy   6.186 states/eV/cell
# SG   P2_1/m
# Electronic total energy   -4.93 eV per atom
# Calculated formation energy   -584 meV per atom
data_Tb4Sn2Bi
_chemical_formula_sum 'Tb8 Sn4 Bi2'
_cell_length_a 6.190
_cell_length_b 6.573
_cell_length_c 10.304
_cell_angle_alpha 90.00
_cell_angle_beta 98.53
_cell_angle_gamma 90.00
_symmetry_space_group_name_H-M 'P 1'
_symmetry_Int_Tables_number 1
loop_
_symmetry_equiv_pos_as_xyz
'x,y,z'
loop_
_atom_site_label
_atom_site_type_symbol
_atom_site_fract_x
_atom_site_fract_y
_atom_site_fract_z
Tb1 Tb 0.036 0.250 0.167
Tb2 Tb 0.429 0.493 0.732
Tb3 Tb 0.964 0.750 0.833
Tb4 Tb 0.429 0.007 0.732
Tb5 Tb 0.140 0.750 0.451
Tb6 Tb 0.571 0.507 0.268
Tb7 Tb 0.860 0.250 0.549
Tb8 Tb 0.571 0.993 0.268
Sn1 Sn 0.687 0.750 0.542
Sn2 Sn 0.501 0.750 0.991
Sn3 Sn 0.313 0.250 0.458
Sn4 Sn 0.499 0.250 0.009
Bi1 Bi 0.042 0.750 0.152
Bi2 Bi 0.958 0.250 0.848

# CdCu2BH PBE optimized geometry
# DOS at the Fermi energy   1.937 states/eV/cell
# SG   P4/mmm
# E above lowest polymorph   0.978 eV per atom
# Electronic total energy   -2.08 eV per atom
data_CdCu2BH
_chemical_formula_sum 'Cd1 Cu2 B1 H1'
_cell_length_a 4.972
_cell_length_b 4.161
_cell_length_c 4.972
_cell_angle_alpha 90.00
_cell_angle_beta 90.00
_cell_angle_gamma 90.00
_symmetry_space_group_name_H-M 'P 1'
_symmetry_Int_Tables_number 1
loop_
_symmetry_equiv_pos_as_xyz
'x,y,z'
loop_
_atom_site_label
_atom_site_type_symbol
_atom_site_fract_x
_atom_site_fract_y
_atom_site_fract_z
B1 B 0.000 0.500 0.000
H1 H 0.500 0.500 0.500
Cu1 Cu 0.000 0.000 0.500
Cu2 Cu 0.500 0.000 0.000
Cd1 Cd 0.000 0.000 0.000

# Rb2P2PbO7 PBE optimized geometry
# DOS at the Fermi energy   0.000 states/eV/cell
# SG   R-3m
# Uncorrected formation energy   -2.092 eV per atom
# Electronic total energy   -6.36 eV per atom
data_Rb2P2PbO7
_chemical_formula_sum 'Rb2 P2 Pb1 O7'
_cell_length_a 6.011
_cell_length_b 6.011
_cell_length_c 7.940
_cell_angle_alpha 67.76
_cell_angle_beta 67.76
_cell_angle_gamma 60.00
_symmetry_space_group_name_H-M 'P 1'
_symmetry_Int_Tables_number 1
loop_
_symmetry_equiv_pos_as_xyz
'x,y,z'
loop_
_atom_site_label
_atom_site_type_symbol
_atom_site_fract_x
_atom_site_fract_y
_atom_site_fract_z
O1 O 0.235 0.807 0.721
O2 O 0.000 0.000 0.000
O3 O 0.807 0.237 0.721
O4 O 0.765 0.763 0.279
O5 O 0.237 0.235 0.721
O6 O 0.193 0.765 0.279
O7 O 0.763 0.193 0.279
Rb1 Rb 0.273 0.273 0.180
Rb2 Rb 0.727 0.727 0.820
P1 P 0.075 0.075 0.774
P2 P 0.925 0.925 0.226
Pb1 Pb 0.500 0.500 0.500